1.
Density functional theory data (PBE) for crystalline FeSbRu2 at its relaxed geometry.

## Properties
Total DFT energy (no corrections) = -0.2791 Ha/atom
Spin magnetization = 6.13 Bohr magnetons per cell
Formation energy without anion corrections = 190.1 meV/atom
Fermi-level density of states = 1.102 states/eV/atom
Mass density = 10.26 g/cm³
SG = C2/m, No. 12
Volume = 122.90 Å³ per cell

a = 8.556 Å, b = 2.987 Å, c = 4.915 Å
α = 90.00°, β = 101.93°, γ = 90.00°
Element x y z (fractional)
Fe: 0.000 0.000 0.000
Fe: 0.500 0.500 0.000
Sb: 0.000 0.500 0.500
Sb: 0.500 0.000 0.500
Ru: 0.244 0.500 0.225
Ru: 0.256 0.000 0.775
Ru: 0.744 0.000 0.225
Ru: 0.756 0.500 0.775

2.
Density functional theory data (PBE) for crystalline FeSb2Ru at its relaxed geometry.

## Properties
Total DFT energy (no corrections) = -0.2158 Ha/atom
Spin magnetization = 15.63 Bohr magnetons per cell
Formation energy without anion corrections = 622.6 meV/atom
Fermi-level density of states = 0.934 states/eV/atom
Mass density = 8.83 g/cm³
SG = F-43m, No. 216
Volume = 301.29 Å³ per cell
E above lowest polymorph = 515.9 meV per atom

a = 6.704 Å, b = 6.704 Å, c = 6.704 Å
α = 90.00°, β = 90.00°, γ = 90.00°
Element x y z (fractional)
Fe: 0.000 0.000 0.000
Fe: 0.000 0.500 0.500
Fe: 0.500 0.000 0.500
Fe: 0.500 0.500 0.000
Sb: 0.000 0.000 0.500
Sb: 0.000 0.500 0.000
Sb: 0.250 0.250 0.250
Sb: 0.250 0.750 0.750
Sb: 0.500 0.000 0.000
Sb: 0.500 0.500 0.500
Sb: 0.750 0.250 0.750
Sb: 0.750 0.750 0.250
Ru: 0.250 0.250 0.750
Ru: 0.250 0.750 0.250
Ru: 0.750 0.250 0.250
Ru: 0.750 0.750 0.750

3.
Density functional theory data (PBE) for crystalline FeSbRu2 at its relaxed geometry.

## Properties
Total DFT energy (no corrections) = -0.2723 Ha/atom
Spin magnetization = 10.90 Bohr magnetons per cell
Formation energy without anion corrections = 374.3 meV/atom
Fermi-level density of states = 1.086 states/eV/atom
Mass density = 9.90 g/cm³
SG = R-3m, No. 166
Volume = 191.02 Å³ per cell

a = 3.036 Å, b = 3.036 Å, c = 23.930 Å
α = 90.00°, β = 90.00°, γ = 120.00°
Element x y z (fractional)
Fe: 0.000 0.000 0.000
Fe: 0.333 0.667 0.667
Fe: 0.667 0.333 0.333
Sb: 0.000 0.000 0.500
Sb: 0.333 0.667 0.167
Sb: 0.667 0.333 0.833
Ru: 0.000 0.000 0.254
Ru: 0.000 0.000 0.746
Ru: 0.333 0.667 0.413
Ru: 0.333 0.667 0.921
Ru: 0.667 0.333 0.079
Ru: 0.667 0.333 0.587

4.
Density functional theory data (PBE) for crystalline FeSbRu2 at its relaxed geometry.

## Properties
Total DFT energy (no corrections) = -0.2825 Ha/atom
Spin magnetization = 4.39 Bohr magnetons per cell
Formation energy without anion corrections = 96.2 meV/atom
Fermi-level density of states = 0.789 states/eV/atom
Mass density = 10.35 g/cm³
SG = P4/mmm, No. 123
Volume = 60.93 Å³ per cell

a = 4.375 Å, b = 4.375 Å, c = 3.183 Å
α = 90.00°, β = 90.00°, γ = 90.00°
Element x y z (fractional)
Fe: 0.000 0.000 0.000
Sb: 0.500 0.500 0.000
Ru: 0.000 0.500 0.500
Ru: 0.500 0.000 0.500

5.
Density functional theory data (PBE) for crystalline FeSb2Ru at its relaxed geometry.

## Properties
Total DFT energy (no corrections) = -0.2295 Ha/atom
Spin magnetization = 3.80 Bohr magnetons per cell
Formation energy without anion corrections = 249.7 meV/atom
Fermi-level density of states = 1.017 states/eV/atom
Mass density = 9.37 g/cm³
SG = C2/m, No. 12
Volume = 142.00 Å³ per cell
E above lowest polymorph = 143.1 meV per atom

a = 8.193 Å, b = 3.207 Å, c = 5.544 Å
α = 90.00°, β = 102.89°, γ = 90.00°
Element x y z (fractional)
Fe: 0.000 0.000 0.000
Fe: 0.500 0.500 0.000
Sb: 0.250 0.000 0.755
Sb: 0.250 0.500 0.245
Sb: 0.750 0.000 0.245
Sb: 0.750 0.500 0.755
Ru: 0.000 0.500 0.500
Ru: 0.500 0.000 0.500

6.
Density functional theory data (PBE) for crystalline FeSb2Ru at its relaxed geometry.

## Properties
Total DFT energy (no corrections) = -0.2269 Ha/atom
Spin magnetization = 9.49 Bohr magnetons per cell
Formation energy without anion corrections = 320.7 meV/atom
Fermi-level density of states = 0.654 states/eV/atom
Mass density = 7.75 g/cm³
SG = R3m, No. 160
Volume = 257.23 Å³ per cell
E above lowest polymorph = 214.1 meV per atom

a = 3.144 Å, b = 3.144 Å, c = 30.059 Å
α = 90.00°, β = 90.00°, γ = 120.00°
Element x y z (fractional)
Fe: 0.000 0.000 0.000
Fe: 0.333 0.667 0.667
Fe: 0.667 0.333 0.333
Sb: 0.000 0.000 0.538
Sb: 0.000 0.000 0.734
Sb: 0.333 0.667 0.204
Sb: 0.333 0.667 0.401
Sb: 0.667 0.333 0.068
Sb: 0.667 0.333 0.871
Ru: 0.000 0.000 0.272
Ru: 0.333 0.667 0.939
Ru: 0.667 0.333 0.605

7.
Density functional theory data (PBE) for crystalline FeSbRu2 at its relaxed geometry.

## Properties
Total DFT energy (no corrections) = -0.2769 Ha/atom
Spin magnetization = 2.74 Bohr magnetons per cell
Formation energy without anion corrections = 250.7 meV/atom
Fermi-level density of states = 1.204 states/eV/atom
Mass density = 10.24 g/cm³
SG = Pm, No. 6
Volume = 61.60 Å³ per cell

a = 2.968 Å, b = 3.837 Å, c = 5.410 Å
α = 90.00°, β = 90.03°, γ = 90.00°
Element x y z (fractional)
Fe: 0.000 0.000 0.000
Sb: 0.501 0.500 0.694
Ru: 0.002 0.000 0.465
Ru: 0.501 0.500 0.177

8.
Density functional theory data (PBE) for crystalline FeSb2Ru at its relaxed geometry.

## Properties
Total DFT energy (no corrections) = -0.2167 Ha/atom
Spin magnetization = 0.00 Bohr magnetons per cell
Formation energy without anion corrections = 599.0 meV/atom
Fermi-level density of states = 0.863 states/eV/atom
Mass density = 6.84 g/cm³
SG = I-42d, No. 122
Volume = 388.69 Å³ per cell
E above lowest polymorph = 492.4 meV per atom

a = 5.787 Å, b = 5.787 Å, c = 11.605 Å
α = 90.00°, β = 90.00°, γ = 90.00°
Element x y z (fractional)
Fe: 0.000 0.000 0.000
Fe: 0.000 0.500 0.250
Fe: 0.500 0.000 0.750
Fe: 0.500 0.500 0.500
Sb: 0.235 0.250 0.125
Sb: 0.250 0.735 0.375
Sb: 0.250 0.765 0.875
Sb: 0.265 0.250 0.625
Sb: 0.735 0.750 0.625
Sb: 0.750 0.235 0.875
Sb: 0.750 0.265 0.375
Sb: 0.765 0.750 0.125
Ru: 0.000 0.000 0.500
Ru: 0.000 0.500 0.750
Ru: 0.500 0.000 0.250
Ru: 0.500 0.500 0.000

9.
Density functional theory data (PBE) for crystalline FeSb3Ru at its relaxed geometry.

## Properties
Total DFT energy (no corrections) = -0.1887 Ha/atom
Spin magnetization = 3.03 Bohr magnetons per cell
Formation energy without anion corrections = 887.7 meV/atom
Fermi-level density of states = 0.838 states/eV/atom
Mass density = 6.52 g/cm³
SG = Pm-3m, No. 221
Volume = 133.04 Å³ per cell
E above lowest polymorph = 25.8 meV per atom

a = 5.105 Å, b = 5.105 Å, c = 5.105 Å
α = 90.00°, β = 90.00°, γ = 90.00°
Element x y z (fractional)
Fe: 0.000 0.000 0.000
Sb: 0.000 0.500 0.500
Sb: 0.500 0.000 0.500
Sb: 0.500 0.500 0.000
Ru: 0.500 0.500 0.500

10.
Density functional theory data (PBE) for crystalline FeSb2Ru at its relaxed geometry.

## Properties
Total DFT energy (no corrections) = -0.2327 Ha/atom
Spin magnetization = 1.52 Bohr magnetons per cell
Formation energy without anion corrections = 163.5 meV/atom
Fermi-level density of states = 0.964 states/eV/atom
Mass density = 9.38 g/cm³
SG = Pmm2, No. 25
Volume = 70.92 Å³ per cell
E above lowest polymorph = 56.9 meV per atom

a = 3.246 Å, b = 3.991 Å, c = 5.475 Å
α = 90.00°, β = 90.00°, γ = 90.00°
Element x y z (fractional)
Fe: 0.000 0.000 0.000
Sb: 0.000 0.000 0.494
Sb: 0.500 0.500 0.867
Ru: 0.500 0.500 0.346

11.
Density functional theory data (PBE) for crystalline FeSbRu2 at its relaxed geometry.

## Properties
Total DFT energy (no corrections) = -0.2797 Ha/atom
Spin magnetization = 2.78 Bohr magnetons per cell
Formation energy without anion corrections = 173.9 meV/atom
Fermi-level density of states = 1.105 states/eV/atom
Mass density = 10.67 g/cm³
SG = I-4m2, No. 119
Volume = 118.25 Å³ per cell

a = 3.891 Å, b = 3.891 Å, c = 7.811 Å
α = 90.00°, β = 90.00°, γ = 90.00°
Element x y z (fractional)
Fe: 0.000 0.000 0.000
Fe: 0.500 0.500 0.500
Sb: 0.000 0.500 0.250
Sb: 0.500 0.000 0.750
Ru: 0.000 0.000 0.500
Ru: 0.000 0.500 0.750
Ru: 0.500 0.000 0.250
Ru: 0.500 0.500 0.000

12.
Density functional theory data (PBE) for crystalline FeSb2Ru at its relaxed geometry.

## Properties
Total DFT energy (no corrections) = -0.2307 Ha/atom
Spin magnetization = 8.39 Bohr magnetons per cell
Formation energy without anion corrections = 219.3 meV/atom
Fermi-level density of states = 0.684 states/eV/atom
Mass density = 9.69 g/cm³
SG = Fm-3m, No. 225
Volume = 274.62 Å³ per cell
E above lowest polymorph = 112.7 meV per atom

a = 6.500 Å, b = 6.500 Å, c = 6.500 Å
α = 90.00°, β = 90.00°, γ = 90.00°
Element x y z (fractional)
Fe: 0.000 0.000 0.000
Fe: 0.000 0.500 0.500
Fe: 0.500 0.000 0.500
Fe: 0.500 0.500 0.000
Sb: 0.250 0.250 0.250
Sb: 0.250 0.250 0.750
Sb: 0.250 0.750 0.250
Sb: 0.250 0.750 0.750
Sb: 0.750 0.250 0.250
Sb: 0.750 0.250 0.750
Sb: 0.750 0.750 0.250
Sb: 0.750 0.750 0.750
Ru: 0.000 0.000 0.500
Ru: 0.000 0.500 0.000
Ru: 0.500 0.000 0.000
Ru: 0.500 0.500 0.500